Rb2SrBiCl6 | PBE | optimized geometry

Unit cell a=7.886 b=7.886 c=12.496 alpha=90.00 beta=90.00 gamma=90.00
Space group I4/mmm (No. 139)
Unique sites:
Rb 0.000 0.500 0.250 (multiplicity 4)
Sr 0.000 0.000 0.000 (multiplicity 2)
Bi 0.000 0.000 0.500 (multiplicity 2)
Cl 0.000 0.000 0.227 (multiplicity 4)
Cl 0.244 0.244 0.500 (multiplicity 8)

Properties
* E_tot: -70.1 eV for the cell shown